Here is an optimized crystal structure of Sb3ClF12 from Alexandria. Energies are from PBE. Values from VASP.

The structure in Quantum ESPRESSO input format:
```
&SYSTEM
  ibrav = 0, nat = 32, ntyp = 3
/
ATOMIC_SPECIES
Sb 121.76 Sb.upf
Cl 35.45 Cl.upf
F 19.00 F.upf
CELL_PARAMETERS angstrom
7.2939 0.0000 0.0000
2.9499 8.1657 0.0000
2.1375 2.5022 10.3982
ATOMIC_POSITIONS crystal
Sb 0.0000 0.0000 0.0000
Sb 0.0886 0.0605 0.4269
Sb 0.2310 0.5226 0.6906
Sb 0.4919 0.2754 0.1340
Sb 0.7087 0.6596 0.5778
Sb 0.8784 0.5312 0.1164
Cl 0.3218 0.4818 0.4865
Cl 0.8483 0.0386 0.8237
F 0.0170 0.2892 0.3131
F 0.0666 0.9637 0.1681
F 0.1376 0.7629 0.6337
F 0.1497 0.5573 0.8595
F 0.1618 0.1387 0.5526
F 0.2627 0.9215 0.9302
F 0.3002 0.4749 0.1685
F 0.3140 0.1902 0.0894
F 0.3204 0.2895 0.7657
F 0.4661 0.1502 0.3069
F 0.5000 0.7876 0.4777
F 0.5005 0.5516 0.7017
F 0.5562 0.3773 0.9608
F 0.6453 0.7972 0.6943
F 0.6845 0.6525 0.9989
F 0.6957 0.3402 0.1834
F 0.7103 0.0654 0.1033
F 0.7155 0.6310 0.2516
F 0.7803 0.4585 0.5240
F 0.8221 0.0954 0.5066
F 0.8919 0.7524 0.4603
F 0.9438 0.5216 0.6904
F 0.9764 0.7676 0.0623
F 0.9801 0.2327 0.9700
```

Fermi-level density of states = 0.0 states/eV per cell
total energy = -70.966 eV/f.u.
ΔE_f (raw) = -2.1435 eV per atom